Computed, not measured: a geometry-optimized DyGa2Te4 structure at the GGA-PBE level of DFT. Values from VASP.

Structure (Quantum ESPRESSO input):
```
&SYSTEM
  ibrav = 0, nat = 7, ntyp = 3
/
ATOMIC_SPECIES
Dy 162.50 Dy.upf
Ga 69.72 Ga.upf
Te 127.60 Te.upf
ATOMIC_POSITIONS angstrom
Dy 1.778 3.006 0.000
Ga -1.596 2.973 2.888
Ga 3.375 0.032 2.888
Te 0.670 -0.396 2.812
Te 4.329 1.497 0.778
Te -2.551 1.509 4.998
Te 1.108 3.402 2.963
CELL_PARAMETERS angstrom
6.749 0.065 0.000
-3.193 5.947 0.000
-1.778 -3.006 5.776
```

Properties
energy relative to the elements, uncorrected = -466 meV per atom
electronic total energy = -3.7831 eV per atom

Computed, not measured: a geometry-optimized RbCoRhCl6 structure at the GGA-PBE level of DFT. Values from VASP.

Structure (Quantum ESPRESSO input):
```
&SYSTEM
  ibrav = 0, nat = 9, ntyp = 4
/
ATOMIC_SPECIES
Rb 85.47 Rb.upf
Co 58.93 Co.upf
Rh 102.91 Rh.upf
Cl 35.45 Cl.upf
ATOMIC_POSITIONS angstrom
Rb -1.632 2.130 9.379
Co -5.279 2.458 5.716
Rh -2.507 0.445 4.537
Cl -2.090 -0.679 2.493
Cl -0.478 -0.193 5.573
Cl -3.237 1.454 6.553
Cl -3.544 -1.601 5.149
Cl -4.501 1.381 3.652
Cl -1.229 2.295 3.799
CELL_PARAMETERS angstrom
-2.168 5.262 2.662
-6.180 0.764 0.872
0.543 -3.130 6.717
```

Properties
energy relative to the elements, uncorrected = -896 meV per atom
electronic total energy = -3.8409 eV per atom

Computed, not measured: a geometry-optimized KFeSe2 structure at the GGA-PBE level of DFT. Values from VASP.

Structure (Quantum ESPRESSO input):
```
&SYSTEM
  ibrav = 0, nat = 4, ntyp = 3
/
ATOMIC_SPECIES
Fe 55.84 Fe.upf
K 39.10 K.upf
Se 78.96 Se.upf
ATOMIC_POSITIONS angstrom
Fe 1.633 1.633 1.987
K 1.633 1.633 5.961
Se 0.000 0.000 0.454
Se 0.000 0.000 3.521
CELL_PARAMETERS angstrom
3.266 0.000 0.000
0.000 3.266 0.000
0.000 0.000 7.949
```

Properties
energy relative to the elements, uncorrected = -217 meV per atom
electronic total energy = -4.3493 eV per atom

Computed, not measured: a geometry-optimized Er12Tm3Th structure at the GGA-PBE level of DFT. Values from VASP.

Structure (Quantum ESPRESSO input):
```
&SYSTEM
  ibrav = 0, nat = 16, ntyp = 3
/
ATOMIC_SPECIES
Er 167.26 Er.upf
Tm 168.93 Tm.upf
Th 232.04 Th.upf
ATOMIC_POSITIONS angstrom
Er 1.181 -2.668 1.956
Er 2.126 0.497 5.701
Er 3.056 3.612 9.388
Er 3.987 6.728 13.075
Er -0.561 -0.023 3.461
Er 0.377 3.120 7.180
Er 1.314 6.257 10.893
Er 2.252 9.400 14.612
Er 2.679 0.493 2.208
Er 3.618 3.635 5.927
Er 4.555 6.773 9.640
Er 5.493 9.916 13.359
Tm 0.939 3.144 3.721
Tm 1.875 6.280 7.432
Tm 2.811 9.416 11.143
Th 0.000 0.000 0.000
CELL_PARAMETERS angstrom
-2.059 -3.184 3.210
4.422 -2.152 0.703
3.750 12.560 14.864
```

Properties
formation energy = 0.028 eV per atom
electronic total energy = -4.6966 eV per atom

Computed, not measured: a geometry-optimized MgCuPt2 structure at the GGA-PBE level of DFT. Values from VASP.

Structure (Quantum ESPRESSO input):
```
&SYSTEM
  ibrav = 0, nat = 4, ntyp = 3
/
ATOMIC_SPECIES
Cu 63.55 Cu.upf
Mg 24.30 Mg.upf
Pt 195.08 Pt.upf
ATOMIC_POSITIONS angstrom
Cu 4.425 2.555 1.806
Mg 6.637 3.832 2.710
Pt 0.000 0.000 0.000
Pt 2.212 1.277 0.903
CELL_PARAMETERS angstrom
4.425 0.000 0.000
2.212 3.832 0.000
2.212 1.277 3.613
```

Properties
formation energy = -0.369 eV per atom
electronic total energy = -4.8122 eV per atom

Computed, not measured: a geometry-optimized Be2AlCl structure at the GGA-PBE level of DFT. Values from VASP.

Structure (Quantum ESPRESSO input):
```
&SYSTEM
  ibrav = 0, nat = 4, ntyp = 3
/
ATOMIC_SPECIES
Be 9.01 Be.upf
Al 26.98 Al.upf
Cl 35.45 Cl.upf
ATOMIC_POSITIONS angstrom
Be 6.929 4.601 0.000
Be 3.063 -0.642 1.214
Al 1.236 1.618 1.219
Cl 4.141 2.750 0.000
CELL_PARAMETERS angstrom
5.226 -0.002 -0.005
2.025 4.818 0.005
-2.760 -3.711 2.433
```

Properties
distance to the lowest polymorph of the same formula = 406 meV per atom
energy relative to the elements, uncorrected = 378 meV per atom
electronic total energy = -2.8826 eV per atom

Computed, not measured: a geometry-optimized ScFeAs2 structure at the GGA-PBE level of DFT. Values from VASP.

Structure (Quantum ESPRESSO input):
```
&SYSTEM
  ibrav = 0, nat = 4, ntyp = 3
/
ATOMIC_SPECIES
As 74.92 As.upf
Fe 55.84 Fe.upf
Sc 44.96 Sc.upf
ATOMIC_POSITIONS angstrom
As 0.000 0.000 0.000
As 1.712 -1.657 -1.847
Fe -0.021 -1.868 -4.305
Sc -0.795 -2.513 -1.463
CELL_PARAMETERS angstrom
-2.529 -2.725 -3.921
2.486 -1.012 -4.689
0.960 -0.434 5.300
```

Properties
distance to the lowest polymorph of the same formula = 221 meV per atom
formation energy = -0.335 eV per atom
electronic total energy = -6.3584 eV per atom

Computed, not measured: a geometry-optimized TlCuMo structure at the GGA-PBE level of DFT. Values from VASP.

Structure (Quantum ESPRESSO input):
```
&SYSTEM
  ibrav = 0, nat = 3, ntyp = 3
/
ATOMIC_SPECIES
Cu 63.55 Cu.upf
Mo 95.94 Mo.upf
Tl 204.38 Tl.upf
ATOMIC_POSITIONS angstrom
Cu -1.121 -2.000 0.835
Mo 1.870 -1.934 0.731
Tl -0.015 -3.410 -1.064
CELL_PARAMETERS angstrom
-0.109 -1.691 -4.194
3.533 -0.855 2.692
-1.344 -2.399 1.002
```

Properties
distance to the lowest polymorph of the same formula = 101 meV per atom
formation energy = 0.726 eV per atom
electronic total energy = -5.0383 eV per atom

Computed, not measured: a geometry-optimized Ce4Nd2H2Pb3 structure at the GGA-PBE level of DFT. Values from VASP.

Structure (Quantum ESPRESSO input):
```
&SYSTEM
  ibrav = 0, nat = 11, ntyp = 4
/
ATOMIC_SPECIES
Ce 140.12 Ce.upf
Nd 144.24 Nd.upf
H 1.01 H.upf
Pb 207.20 Pb.upf
ATOMIC_POSITIONS angstrom
Ce 6.245 8.963 3.142
Ce 4.519 10.407 0.691
Ce 1.120 1.760 2.506
Ce -0.605 3.204 0.055
Nd 4.631 6.509 0.575
Nd 1.009 5.658 2.623
H 6.052 8.507 0.751
H -0.412 3.660 2.446
Pb 0.000 0.000 0.000
Pb 2.720 3.823 0.338
Pb 2.920 8.344 2.860
CELL_PARAMETERS angstrom
-3.821 2.737 -0.214
-0.370 -0.151 4.688
9.831 9.581 -1.277
```

Properties
electronic total energy = -5.0214 eV per atom

Computed, not measured: a geometry-optimized BaGdBr2 structure at the GGA-PBE level of DFT. Values from VASP.

Structure (Quantum ESPRESSO input):
```
&SYSTEM
  ibrav = 0, nat = 4, ntyp = 3
/
ATOMIC_SPECIES
Gd 157.25 Gd.upf
Ba 137.33 Ba.upf
Br 79.90 Br.upf
ATOMIC_POSITIONS angstrom
Gd 4.507 2.602 3.568
Ba 0.000 0.000 0.000
Br 2.253 1.301 2.070
Br 6.760 3.903 5.066
CELL_PARAMETERS angstrom
4.507 0.000 0.000
2.253 3.903 0.000
2.253 1.301 7.136
```

Properties
energy relative to the elements, uncorrected = -1186 meV per atom
electronic total energy = -6.0232 eV per atom

Computed, not measured: a geometry-optimized NiSe structure at the GGA-PBE level of DFT. Values from VASP.

Structure (Quantum ESPRESSO input):
```
&SYSTEM
  ibrav = 0, nat = 4, ntyp = 2
/
ATOMIC_SPECIES
Ni 58.69 Ni.upf
Se 78.96 Se.upf
ATOMIC_POSITIONS angstrom
Ni 0.000 0.000 0.000
Ni -2.166 1.259 0.730
Se -1.960 -1.225 0.961
Se -4.386 0.746 -0.307
CELL_PARAMETERS angstrom
-1.397 -0.432 -3.400
-0.618 -2.566 2.594
-4.333 2.519 1.460
```

Properties
energy relative to the elements, uncorrected = -238 meV per atom
electronic total energy = -4.8711 eV per atom

Computed, not measured: a geometry-optimized BePW structure at the GGA-PBE level of DFT. Values from VASP.

Structure (Quantum ESPRESSO input):
```
&SYSTEM
  ibrav = 0, nat = 3, ntyp = 3
/
ATOMIC_SPECIES
P 30.97 P.upf
W 183.84 W.upf
Be 9.01 Be.upf
ATOMIC_POSITIONS angstrom
P 5.833 3.368 2.381
W 0.000 0.000 0.000
Be 3.889 2.245 1.588
CELL_PARAMETERS angstrom
3.889 0.000 0.000
1.944 3.368 0.000
1.944 1.123 3.175
```

Properties
distance to the lowest polymorph of the same formula = 450 meV per atom
formation energy = 0.254 eV per atom
electronic total energy = -7.1091 eV per atom

Computed, not measured: a geometry-optimized ZnWCl structure at the GGA-PBE level of DFT. Values from VASP.

Structure (Quantum ESPRESSO input):
```
&SYSTEM
  ibrav = 0, nat = 3, ntyp = 3
/
ATOMIC_SPECIES
Cl 35.45 Cl.upf
W 183.84 W.upf
Zn 65.41 Zn.upf
ATOMIC_POSITIONS angstrom
Cl -3.592 2.124 -3.169
W -5.388 3.186 -4.753
Zn 0.000 0.000 0.000
CELL_PARAMETERS angstrom
-0.632 1.934 -3.763
-3.584 -0.746 -2.214
-2.968 3.060 -0.361
```

Properties
distance to the lowest polymorph of the same formula = 1114 meV per atom
energy relative to the elements, uncorrected = 1336 meV per atom
electronic total energy = -4.0222 eV per atom

Computed, not measured: a geometry-optimized ScBe3Re structure at the GGA-PBE level of DFT. Values from VASP.

Structure (Quantum ESPRESSO input):
```
&SYSTEM
  ibrav = 0, nat = 5, ntyp = 3
/
ATOMIC_SPECIES
Sc 44.96 Sc.upf
Re 186.21 Re.upf
Be 9.01 Be.upf
ATOMIC_POSITIONS angstrom
Sc 2.117 2.117 2.117
Re 0.000 0.000 0.000
Be 0.000 2.117 0.000
Be 0.000 0.000 2.117
Be 2.117 0.000 0.000
CELL_PARAMETERS angstrom
4.235 0.000 0.000
0.000 4.235 0.000
0.000 0.000 4.235
```

Properties
distance to the lowest polymorph of the same formula = 0 meV per atom
formation energy = 0.384 eV per atom
electronic total energy = -5.6080 eV per atom

Computed, not measured: a geometry-optimized CsBaNpO4 structure at the GGA-PBE level of DFT. Values from VASP.

Structure (Quantum ESPRESSO input):
```
&SYSTEM
  ibrav = 0, nat = 7, ntyp = 4
/
ATOMIC_SPECIES
Cs 132.91 Cs.upf
Ba 137.33 Ba.upf
Np 237.00 Np.upf
O 16.00 O.upf
ATOMIC_POSITIONS angstrom
Cs 2.112 -2.538 1.932
Ba -0.098 -0.561 5.044
Np -0.001 -0.004 0.037
O -0.209 -2.974 6.553
O 2.099 -0.838 6.835
O 2.058 -2.853 4.768
O -0.039 -0.227 2.039
CELL_PARAMETERS angstrom
-0.154 -4.435 -0.496
4.462 -0.163 0.068
-2.289 1.524 7.177
```

Properties
energy relative to the elements, uncorrected = -2655 meV per atom
electronic total energy = -7.7338 eV per atom

Computed, not measured: a geometry-optimized FeSe2SN structure at the GGA-PBE level of DFT. Values from VASP.

Structure (Quantum ESPRESSO input):
```
&SYSTEM
  ibrav = 0, nat = 5, ntyp = 4
/
ATOMIC_SPECIES
S 32.06 S.upf
Fe 55.84 Fe.upf
Se 78.96 Se.upf
N 14.01 N.upf
ATOMIC_POSITIONS angstrom
S 0.000 0.000 0.000
Fe -3.779 -0.505 0.397
Se -1.658 -0.848 -1.608
Se -1.700 1.495 0.964
N -0.421 -1.151 1.042
CELL_PARAMETERS angstrom
-3.400 2.989 1.928
-3.315 -1.697 -3.216
-0.843 -2.302 2.083
```

Properties
distance to the lowest polymorph of the same formula = 731 meV per atom
energy relative to the elements, uncorrected = 1283 meV per atom
electronic total energy = -4.2936 eV per atom

Computed, not measured: a geometry-optimized CuSbTe2F structure at the GGA-PBE level of DFT. Values from VASP.

Structure (Quantum ESPRESSO input):
```
&SYSTEM
  ibrav = 0, nat = 5, ntyp = 4
/
ATOMIC_SPECIES
Sb 121.76 Sb.upf
Te 127.60 Te.upf
Cu 63.55 Cu.upf
F 19.00 F.upf
ATOMIC_POSITIONS angstrom
Sb -0.471 1.331 1.700
Te -1.369 -1.946 1.145
Te -2.187 0.810 -1.239
Cu -4.027 0.195 1.606
F 0.000 0.000 0.000
CELL_PARAMETERS angstrom
-4.374 1.619 -2.478
-2.738 -3.892 2.290
-0.941 2.663 3.401
```

Properties
distance to the lowest polymorph of the same formula = 107 meV per atom
energy relative to the elements, uncorrected = 246 meV per atom
electronic total energy = -3.0290 eV per atom

Computed, not measured: a geometry-optimized Ac6Pd2Rh3Cl structure at the GGA-PBE level of DFT. Values from VASP.

Structure (Quantum ESPRESSO input):
```
&SYSTEM
  ibrav = 0, nat = 12, ntyp = 4
/
ATOMIC_SPECIES
Ac 227.00 Ac.upf
Pd 106.42 Pd.upf
Rh 102.91 Rh.upf
Cl 35.45 Cl.upf
ATOMIC_POSITIONS angstrom
Ac 0.000 6.473 6.210
Ac 2.168 4.360 3.187
Ac 2.168 -0.244 3.255
Ac 2.168 -0.226 9.223
Ac 0.000 6.455 0.241
Ac 0.000 1.869 6.277
Pd 2.168 4.181 6.354
Pd 0.000 2.049 3.111
Rh 2.168 4.446 0.112
Rh 2.168 -0.304 6.279
Rh 0.000 6.533 3.186
Cl 2.168 0.000 0.000
CELL_PARAMETERS angstrom
4.335 0.000 0.000
0.000 8.891 0.224
-2.168 -2.662 9.241
```

Properties
energy relative to the elements, uncorrected = -892 meV per atom
electronic total energy = -5.8033 eV per atom

Computed, not measured: a geometry-optimized MgCo4W structure at the GGA-PBE level of DFT. Values from VASP.

Structure (Quantum ESPRESSO input):
```
&SYSTEM
  ibrav = 0, nat = 6, ntyp = 3
/
ATOMIC_SPECIES
Mg 24.30 Mg.upf
Co 58.93 Co.upf
W 183.84 W.upf
ATOMIC_POSITIONS angstrom
Mg 4.979 4.979 4.979
Co 2.494 4.145 4.145
Co 4.145 4.145 2.494
Co 4.145 2.494 4.145
Co 2.494 2.494 2.494
W 0.000 0.000 0.000
CELL_PARAMETERS angstrom
0.000 3.319 3.319
3.319 0.000 3.319
3.319 3.319 0.000
```

Properties
formation energy = 0.065 eV per atom
electronic total energy = -7.0964 eV per atom

Computed, not measured: a geometry-optimized La2MnAl structure at the GGA-PBE level of DFT. Values from VASP.

Structure (Quantum ESPRESSO input):
```
&SYSTEM
  ibrav = 0, nat = 4, ntyp = 3
/
ATOMIC_SPECIES
Mn 54.94 Mn.upf
Al 26.98 Al.upf
La 138.91 La.upf
ATOMIC_POSITIONS angstrom
Mn 3.843 2.856 0.000
Al 2.891 0.123 1.626
La 0.000 0.000 0.000
La 0.951 2.733 1.626
CELL_PARAMETERS angstrom
5.783 0.245 0.000
1.903 5.466 0.000
-3.843 -2.856 3.252
```

Properties
formation energy = 0.051 eV per atom
electronic total energy = -5.6407 eV per atom